# 1
Entry from Alexandria: a PBEsol-optimized structure of HfHg2BRu (SCAN).

For the total magnetization, the calculation gives 0.00 μB per cell. The formation enthalpy at 0 K comes out at 9.2 eV per formula unit. Its calculated total energy is -46.42 eV per atom.

The space group is P4/mmm (No. 123) and the conventional cell measures 5.429, 5.429 and 4.585 Å, with angles of 90.00, 90.00 and 90.00 degrees. Symmetry generates all atoms from Hf at (0.000, 0.000, 0.000), Hg at (0.000, 0.500, 0.000), B at (0.500, 0.500, 0.500) and Ru at (0.000, 0.000, 0.500).



# 2
Entry from Alexandria: a PBEsol-optimized structure of HfB2PbI (SCAN).

For the total magnetization, the calculation gives 0.01 μB per cell. As for the uncorrected formation energy: 1339.6 meV per atom. Its calculated total energy is -36.67 eV per atom.

The space group is P4/mmm (No. 123) and the conventional cell measures 4.578, 4.578 and 6.000 Å, with angles of 90.00, 90.00 and 90.00 degrees. Symmetry generates all atoms from Hf at (0.000, 0.000, 0.000), B at (0.000, 0.500, 0.000), Pb at (0.000, 0.000, 0.500) and I at (0.500, 0.500, 0.500).



# 3
Entry from Alexandria: a PBEsol-optimized structure of Hf2InB (SCAN).

For the total magnetization, the calculation gives 0.00 μB per cell. The formation enthalpy at 0 K comes out at 0.3 eV per formula unit. Its calculated total energy is -41.47 eV per atom.

The space group is I-42d (No. 122) and the conventional cell measures 7.017, 7.017 and 5.977 Å, with angles of 90.00, 90.00 and 90.00 degrees. Symmetry generates all atoms from Hf at (0.188, 0.250, 0.125), In at (0.000, 0.000, 0.500) and B at (0.000, 0.000, 0.000).



# 4
Entry from Alexandria: a PBEsol-optimized structure of HfInB2 (SCAN).

For the total magnetization, the calculation gives 0.00 μB per cell. The formation enthalpy at 0 K comes out at 2.5 eV per formula unit. Its calculated total energy is -27.11 eV per atom.

The space group is I-42d (No. 122) and the conventional cell measures 6.233, 6.233 and 6.014 Å, with angles of 90.00, 90.00 and 90.00 degrees. Symmetry generates all atoms from Hf at (0.000, 0.000, 0.000), In at (0.000, 0.000, 0.500) and B at (0.242, 0.250, 0.625).



# 5
Entry from Alexandria: a PBEsol-optimized structure of HfInBPb2 (SCAN).

For the total magnetization, the calculation gives 0.00 μB per cell. The formation enthalpy at 0 K comes out at 9.4 eV per formula unit. Its calculated total energy is -49.12 eV per atom.

The space group is P4/mmm (No. 123) and the conventional cell measures 5.472, 5.472 and 5.419 Å, with angles of 90.00, 90.00 and 90.00 degrees. Symmetry generates all atoms from Hf at (0.000, 0.000, 0.000), In at (0.000, 0.000, 0.500), B at (0.500, 0.500, 0.000) and Pb at (0.000, 0.500, 0.500).



# 6
Entry from Alexandria: a PBEsol-optimized structure of Hf2B2Ir (SCAN).

For the total magnetization, the calculation gives 0.00 μB per cell. The formation enthalpy at 0 K comes out at -5.2 eV per formula unit. Its calculated total energy is -43.30 eV per atom.

The space group is P4/mbm (No. 127) and the conventional cell measures 5.938, 5.938 and 3.571 Å, with angles of 90.00, 90.00 and 90.00 degrees. Symmetry generates all atoms from Hf at (0.178, 0.322, 0.000), B at (0.112, 0.612, 0.500) and Ir at (0.000, 0.000, 0.500).



# 7
Entry from Alexandria: a PBEsol-optimized structure of Hf3B2Ir5 (SCAN).

For the total magnetization, the calculation gives 0.00 μB per cell. The formation enthalpy at 0 K comes out at -10.1 eV per formula unit. Its calculated total energy is -56.85 eV per atom.

The space group is P4/mbm (No. 127) and the conventional cell measures 9.190, 9.190 and 3.355 Å, with angles of 90.00, 90.00 and 90.00 degrees. Symmetry generates all atoms from Hf at (0.000, 0.000, 0.000), Hf at (0.176, 0.324, 0.000), B at (0.120, 0.620, 0.000), Ir at (0.000, 0.500, 0.500) and Ir at (0.072, 0.780, 0.500).



# 8
Entry from Alexandria: a PBEsol-optimized structure of KHf3B (SCAN).

For the total magnetization, the calculation gives 0.01 μB per cell. The formation enthalpy at 0 K comes out at 15.1 eV per formula unit. Its calculated total energy is -37.73 eV per atom.

The space group is Pm-3m (No. 221) and the conventional cell measures 4.639, 4.639 and 4.639 Å, with angles of 90.00, 90.00 and 90.00 degrees. Symmetry generates all atoms from K at (0.000, 0.000, 0.000), Hf at (0.000, 0.000, 0.500) and B at (0.500, 0.500, 0.500).